The following is a DFT calculation (PBE-GGA) of an optimized crystal structure of PmPr5In5.

Cell: 5.993 9.309 6.709 Å, 90.16 90.00 108.78°
Fractional positions:
Pm 0.000 0.000 0.000
Pr 0.658 0.317 0.498
Pr 0.677 0.355 0.998
Pr 0.000 0.000 0.500
Pr 0.323 0.645 0.002
Pr 0.342 0.683 0.502
In 0.836 0.672 0.262
In 0.836 0.673 0.739
In 0.500 0.000 0.000
In 0.164 0.327 0.261
In 0.164 0.328 0.738

- E_tot: -44.90 eV per formula unit
- Formation enthalpy at 0 K: -233 meV/atom

---

The following is a DFT calculation (PBE-GGA) of an optimized crystal structure of Pm2Pr5In4.

Cell: 3.519 8.876 10.851 Å, 84.53 90.00 90.00°
Fractional positions:
Pm 0.000 0.919 0.637
Pm 0.000 0.081 0.363
Pr 0.000 0.459 0.335
Pr 0.000 0.843 0.141
Pr 0.000 0.500 0.000
Pr 0.000 0.157 0.859
Pr 0.000 0.541 0.665
In 0.500 0.247 0.579
In 0.500 0.799 0.877
In 0.500 0.753 0.421
In 0.500 0.201 0.123

- E_tot: -47.65 eV per formula unit
- Formation enthalpy at 0 K: -299 meV/atom

---

The following is a DFT calculation (PBE-GGA) of an optimized crystal structure of Pm3Pr4In.

Cell: 5.024 10.292 10.302 Å, 90.00 90.00 90.00°
Fractional positions:
Pm 0.564 0.881 0.000
Pm 0.064 0.885 0.248
Pm 0.564 0.115 0.252
Pm 0.064 0.119 0.500
Pm 0.564 0.115 0.748
Pm 0.064 0.885 0.752
Pr 0.064 0.628 0.000
Pr 0.564 0.364 0.000
Pr 0.064 0.363 0.244
Pr 0.564 0.637 0.256
Pr 0.064 0.636 0.500
Pr 0.564 0.372 0.500
Pr 0.564 0.637 0.744
Pr 0.064 0.363 0.756
In 0.064 0.119 0.000
In 0.564 0.881 0.500

- E_tot: -36.89 eV per formula unit
- Formation enthalpy at 0 K: -98 meV/atom

---

The following is a DFT calculation (PBE-GGA) of an optimized crystal structure of Pm2Pr5In.

Cell: 5.018 7.296 14.697 Å, 90.00 90.00 90.00°
Fractional positions:
Pm 0.500 0.246 0.620
Pm 0.500 0.754 0.380
Pm 0.500 0.254 0.120
Pm 0.500 0.746 0.880
Pr 0.000 0.000 0.000
Pr 0.000 0.500 0.500
Pr 0.000 0.502 0.759
Pr 0.000 0.498 0.241
Pr 0.000 0.998 0.259
Pr 0.000 0.002 0.741
Pr 0.500 0.253 0.878
Pr 0.500 0.747 0.122
Pr 0.500 0.247 0.378
Pr 0.500 0.753 0.622
In 0.000 0.000 0.500
In 0.000 0.500 0.000

- E_tot: -36.86 eV per formula unit
- Formation enthalpy at 0 K: -91 meV/atom

---

The following is a DFT calculation (PBE-GGA) of an optimized crystal structure of Pm8Pr2In.

Cell: 5.610 7.765 9.995 Å, 112.87 106.28 90.00°
Fractional positions:
Pm 0.636 0.863 0.271
Pm 0.364 0.592 0.729
Pm 0.176 0.176 0.352
Pm 0.000 0.257 0.000
Pm 0.824 0.824 0.648
Pm 0.636 0.408 0.271
Pm 0.364 0.137 0.729
Pm 0.000 0.743 0.000
Pr 0.193 0.693 0.386
Pr 0.807 0.307 0.614
In 0.500 0.000 0.000

- E_tot: -50.24 eV per formula unit
- Formation enthalpy at 0 K: 6 meV/atom

---

The following is a DFT calculation (PBE-GGA) of an optimized crystal structure of Pm8Pr3In.

Cell: 8.475 8.475 8.475 Å, 94.29 117.56 117.56°
Fractional positions:
Pm 0.502 0.260 0.260
Pm 0.498 0.758 0.758
Pm 0.000 0.740 0.242
Pm 0.000 0.242 0.740
Pm 0.251 0.376 0.376
Pm 0.749 0.124 0.124
Pm 0.000 0.624 0.876
Pm 0.000 0.876 0.624
Pr 0.500 0.750 0.250
Pr 0.500 0.250 0.750
Pr 0.000 0.500 0.500
In 0.000 0.000 0.000

- E_tot: -50.04 eV per formula unit
- Formation enthalpy at 0 K: 420 meV/atom